This record from Alexandria describes a geometry-optimized Y2ThZn structure. The functional is PBE.

a b c (Å): 4.833 4.784 4.784
angles (deg): 90.00 90.00 90.00
Element x y z (fractional)
1 Y 0.000 0.000 0.500
2 Y 0.000 0.500 0.000
3 Zn 0.500 0.000 0.000
4 Th 0.500 0.500 0.500

ΔE_f	0.020	eV per atom
energy relative to the lowest polymorph listed for this composition	190	meV/atom
space group	P4/mmm, No. 123
total magnetic moment	0.00	μB/atom